Material: ZrIr2Au
Method: DFT, GGA-PBE
State: relaxed

E, eV per cell: -58.850
Relative energy among the computed polymorphs, meV/atom: 564
N(E_F), states/eV/f.u.: 4.002
Space group: I-42d
Total magnetic moment, μB/f.u.: 0.0
Energy of formation from the pure elements, eV/f.u.: 0.1

abc: 9.7139 9.7139 9.7139
angles: 156.16 156.16 33.97
Positions (direct):
1 Zr 0.0000 0.0000 0.0000
2 Zr 0.7500 0.2500 0.5000
3 Ir 0.1673 0.6250 0.0423
4 Ir 0.3750 0.4173 0.5423
5 Ir 0.5827 0.1250 0.9577
6 Ir 0.8750 0.8327 0.4577
7 Au 0.2500 0.7500 0.5000
8 Au 0.5000 0.5000 0.0000

=====

Material: La2CuSi4Ni3
Method: DFT, GGA-PBE
State: relaxed

E, eV per cell: -60.307
N(E_F), states/eV/f.u.: 5.398
Space group: P-4m2
E_form (uncorrected), meV/atom: -732
Total magnetic moment, μB/f.u.: 0.0

abc: 4.1175 4.1175 9.7086
angles: 90.00 90.00 90.00
Positions (direct):
1 La 0.0000 0.5000 0.2479
2 La 0.5000 0.0000 0.7521
3 Cu 0.0000 0.0000 0.5000
4 Si 0.0000 0.0000 0.0000
5 Si 0.0000 0.5000 0.6308
6 Si 0.5000 0.0000 0.3692
7 Si 0.5000 0.5000 0.0000
8 Ni 0.0000 0.5000 0.8808
9 Ni 0.5000 0.0000 0.1192
10 Ni 0.5000 0.5000 0.5000

=====

Material: Rb2Cd5
Method: DFT, GGA-PBE
State: relaxed

E, eV per cell: -6.963
N(E_F), states/eV/f.u.: 3.691
Space group: C2/m
Total magnetic moment, μB/f.u.: 0.0
Energy of formation from the pure elements, eV/f.u.: -0.5

abc: 7.1629 7.1629 8.7142
angles: 121.56 121.56 40.84
Positions (direct):
1 Rb 0.1370 0.1370 0.2582
2 Rb 0.8630 0.8630 0.7418
3 Cd 0.1221 0.1221 0.6967
4 Cd 0.3396 0.3396 0.0795
5 Cd 0.5000 0.5000 0.5000
6 Cd 0.6604 0.6604 0.9205
7 Cd 0.8779 0.8779 0.3033

=====

Material: KRbSr2
Method: DFT, GGA-PBE
State: relaxed

E, eV per cell: -4.829
Relative energy among the computed polymorphs, meV/atom: 83
N(E_F), states/eV/f.u.: 4.500
Space group: P4/mmm
Total magnetic moment, μB/f.u.: 0.0
Energy of formation from the pure elements, eV/f.u.: 0.6

abc: 6.0718 6.0718 7.0748
angles: 90.00 90.00 90.00
Positions (direct):
1 K 0.0000 0.0000 0.0000
2 Rb 0.5000 0.5000 0.0000
3 Sr 0.0000 0.5000 0.5000
4 Sr 0.5000 0.0000 0.5000

=====

Material: FeTeOs2
Method: DFT, GGA-PBE
State: relaxed

E, eV per cell: -31.115
N(E_F), states/eV/f.u.: 4.621
Space group: I-4m2
E_form (uncorrected), meV/atom: 737
Total magnetic moment, μB/f.u.: 1.4

abc: 4.7881 4.7881 4.7881
angles: 131.37 131.37 71.22
Positions (direct):
1 Fe 0.0000 0.0000 0.0000
2 Te 0.7500 0.2500 0.5000
3 Os 0.2500 0.7500 0.5000
4 Os 0.5000 0.5000 0.0000

=====

Material: LaCuCl2
Method: DFT, GGA-PBE
State: relaxed

E, eV per cell: -17.015
Relative energy among the computed polymorphs, meV/atom: 93
N(E_F), states/eV/f.u.: 1.115
Space group: P4/mmm
E_form (uncorrected), meV/atom: -1075
Total magnetic moment, μB/f.u.: 0.0

abc: 4.5206 4.5206 4.1547
angles: 90.00 90.00 90.00
Positions (direct):
1 La 0.0000 0.0000 0.0000
2 Cu 0.5000 0.5000 0.0000
3 Cl 0.0000 0.5000 0.5000
4 Cl 0.5000 0.0000 0.5000